<one>
DFT (PBE) results for an optimized crystal structure of NaFeRh.

a = 4.6789 Å, b = 7.7234 Å, c = 9.9528 Å
α = 90.00°, β = 90.00°, γ = 90.00°
Last column: nearest neighbours and their distance in Å.
Space group Fmmm (No. 69)
One atom of each set of equivalent atoms:
Na (0.0000, 0.1583, 0.0000) (multiplicity 8)  3 Na 2.45-2.73
Fe (0.2500, 0.2500, 0.2500) (multiplicity 8)  2 Fe 2.34, 4 Rh 2.48
Rh (0.0000, 0.0000, 0.3537) (multiplicity 8)  4 Fe 2.48

Properties
* total moment: 0.0002 μB/atom
* DOS(E_F): 30.654 states/eV/cell

=====

<two>
DFT (PBE) results for an optimized crystal structure of NaFeRh.

a = 2.6579 Å, b = 4.0800 Å, c = 9.7787 Å
α = 90.00°, β = 90.00°, γ = 90.00°
Last column: nearest neighbours and their distance in Å.
Space group Pmm2 (No. 25)
One atom of each set of equivalent atoms:
Na (0.0000, 0.0000, 0.0000) (multiplicity 1)  2 Na 2.66
Na (0.5000, 0.5000, 0.2800) (multiplicity 1)  2 Na 2.66, 1 Fe 2.84
Fe (0.0000, 0.5000, 0.7726) (multiplicity 1)  4 Fe 2.38-2.66, 4 Rh 2.48
Fe (0.5000, 0.5000, 0.5706) (multiplicity 1)  4 Fe 2.38-2.66, 6 Rh 2.52-2.59
Rh (0.0000, 0.0000, 0.4812) (multiplicity 1)  4 Fe 2.59, 4 Rh 2.66-2.70
Rh (0.5000, 0.0000, 0.7217) (multiplicity 1)  6 Fe 2.48-2.52, 4 Rh 2.66-2.70

Properties
* total moment: 0.0002 μB/atom
* DOS(E_F): 12.265 states/eV/cell

=====

Which one is most stable, and which one is least stable? <two> is the most stable of them, while <one> is the least stable.

=====

<one>
DFT (PBE) results for an optimized crystal structure of NaFeRh2.

a = 6.1549 Å, b = 6.1549 Å, c = 6.1549 Å
α = 90.00°, β = 90.00°, γ = 90.00°
Last column: nearest neighbours and their distance in Å.
Space group Fm-3m (No. 225)
One atom of each set of equivalent atoms:
Na (0.0000, 0.0000, 0.0000) (multiplicity 4)  8 Rh 2.67
Fe (0.0000, 0.0000, 0.5000) (multiplicity 4)  8 Rh 2.67
Rh (0.2500, 0.2500, 0.2500) (multiplicity 8)  4 Fe 2.67, 4 Na 2.67

Properties
* total moment: 1.1056 μB/atom
* DOS(E_F): 16.504 states/eV/cell

=====

<two>
DFT (PBE) results for an optimized crystal structure of NaFeRh2.

a = 7.0650 Å, b = 7.0650 Å, c = 5.3525 Å
α = 90.00°, β = 90.00°, γ = 90.00°
Last column: nearest neighbours and their distance in Å.
Space group I-42d (No. 122)
One atom of each set of equivalent atoms:
Na (0.0000, 0.0000, 0.0000) (multiplicity 4)  2 Fe 2.68, 4 Rh 2.84
Fe (0.0000, 0.0000, 0.5000) (multiplicity 4)  4 Rh 2.36
Rh (0.2007, 0.7500, 0.6250) (multiplicity 8)  2 Fe 2.36

Properties
* total moment: 0.8613 μB/atom
* DOS(E_F): 13.811 states/eV/cell

=====

Which one is most stable, and which one is least stable? <one> is the most stable of them, while <two> is the least stable.

=====

<one>
DFT (PBE) results for an optimized crystal structure of NaFe2Rh.

a = 6.1646 Å, b = 6.1646 Å, c = 6.1646 Å
α = 90.00°, β = 90.00°, γ = 90.00°
Last column: nearest neighbours and their distance in Å.
Space group Fm-3m (No. 225)
One atom of each set of equivalent atoms:
Na (0.0000, 0.0000, 0.0000) (multiplicity 4)  8 Fe 2.67
Fe (0.2500, 0.2500, 0.2500) (multiplicity 8)  4 Rh 2.67, 4 Na 2.67
Rh (0.0000, 0.0000, 0.5000) (multiplicity 4)  8 Fe 2.67

Properties
* total moment: 1.6815 μB/atom
* DOS(E_F): 24.229 states/eV/cell

=====

<two>
DFT (PBE) results for an optimized crystal structure of NaFe2Rh.

a = 7.1107 Å, b = 7.1107 Å, c = 5.3209 Å
α = 90.00°, β = 90.00°, γ = 90.00°
Last column: nearest neighbours and their distance in Å.
Space group I-42d (No. 122)
One atom of each set of equivalent atoms:
Na (0.0000, 0.0000, 0.0000) (multiplicity 4)  2 Rh 2.66, 4 Fe 2.79
Fe (0.2123, 0.7500, 0.6250) (multiplicity 8)  2 Rh 2.43, 2 Fe 2.71
Rh (0.0000, 0.0000, 0.5000) (multiplicity 4)  4 Fe 2.43, 2 Na 2.66

Properties
* total moment: 1.6828 μB/atom
* DOS(E_F): 15.440 states/eV/cell

=====

Which one is most stable, and which one is least stable? <one> is the most stable of them, while <two> is the least stable.

=====

<one>
DFT (PBE) results for an optimized crystal structure of NaFe2Ru2.

a = 7.4124 Å, b = 7.4124 Å, c = 2.5841 Å
α = 90.00°, β = 90.00°, γ = 90.00°
Last column: nearest neighbours and their distance in Å.
Space group P4/mbm (No. 127)
One atom of each set of equivalent atoms:
Na (0.0000, 0.0000, 0.0000) (multiplicity 2)  2 Na 2.58
Fe (0.1153, 0.3847, 0.0000) (multiplicity 4)  3 Fe 2.42-2.58, 6 Ru 2.51-2.60
Ru (0.1699, 0.6699, 0.5000) (multiplicity 4)  6 Fe 2.51-2.60, 2 Ru 2.58

Properties
* total moment: 0.4408 μB/atom
* DOS(E_F): 11.495 states/eV/cell

=====

<two>
DFT (PBE) results for an optimized crystal structure of NaFe2Ru2.

a = 7.5451 Å, b = 7.5451 Å, c = 2.5945 Å
α = 90.00°, β = 90.00°, γ = 90.00°
Last column: nearest neighbours and their distance in Å.
Space group P4/mbm (No. 127)
One atom of each set of equivalent atoms:
Na (0.0000, 0.0000, 0.0000) (multiplicity 2)  2 Na 2.59
Fe (0.1628, 0.3372, 0.5000) (multiplicity 4)  6 Ru 2.57-2.58, 2 Fe 2.59
Ru (0.1287, 0.6287, 0.0000) (multiplicity 4)  6 Fe 2.57-2.58, 3 Ru 2.59-2.75

Properties
* total moment: 0.8364 μB/atom
* DOS(E_F): 14.035 states/eV/cell

=====

Which one is most stable, and which one is least stable? <two> is the most stable of them, while <one> is the least stable.

=====

<one>
DFT (PBE) results for an optimized crystal structure of NaFe3Ru.

a = 4.4784 Å, b = 4.4784 Å, c = 4.4784 Å
α = 90.00°, β = 90.00°, γ = 90.00°
Last column: nearest neighbours and their distance in Å.
Space group Pm-3m (No. 221)
One atom of each set of equivalent atoms:
Na (0.0000, 0.0000, 0.0000) (multiplicity 1)  12 Fe 3.17
Fe (0.0000, 0.5000, 0.5000) (multiplicity 3)  2 Ru 2.24
Ru (0.5000, 0.5000, 0.5000) (multiplicity 1)  6 Fe 2.24

Properties
* total moment: 0.0936 μB/atom
* DOS(E_F): 13.051 states/eV/cell

=====

<two>
DFT (PBE) results for an optimized crystal structure of NaFe3Ru.

a = 4.3059 Å, b = 4.3059 Å, c = 4.3059 Å
α = 90.00°, β = 90.00°, γ = 90.00°
Last column: nearest neighbours and their distance in Å.
Space group Pm-3m (No. 221)
One atom of each set of equivalent atoms:
Na (0.0000, 0.0000, 0.0000) (multiplicity 1)  6 Fe 2.15
Fe (0.0000, 0.0000, 0.5000) (multiplicity 3)  2 Na 2.15
Ru (0.5000, 0.5000, 0.5000) (multiplicity 1)  12 Fe 3.04

Properties
* total moment: 2.0713 μB/atom
* DOS(E_F): 6.622 states/eV/cell

=====

Which one is most stable, and which one is least stable? <one> is the most stable of them, while <two> is the least stable.

=====

<one>
DFT (PBE) results for an optimized crystal structure of NaFeRu3.

a = 4.3441 Å, b = 4.3441 Å, c = 4.3441 Å
α = 90.00°, β = 90.00°, γ = 90.00°
Last column: nearest neighbours and their distance in Å.
Space group Pm-3m (No. 221)
One atom of each set of equivalent atoms:
Na (0.0000, 0.0000, 0.0000) (multiplicity 1)  6 Ru 2.17
Fe (0.5000, 0.5000, 0.5000) (multiplicity 1)  12 Ru 3.07
Ru (0.0000, 0.0000, 0.5000) (multiplicity 3)  2 Na 2.17

Properties
* total moment: 0.0002 μB/atom
* DOS(E_F): 11.438 states/eV/cell

=====

<two>
DFT (PBE) results for an optimized crystal structure of NaFeRu3.

a = 4.4636 Å, b = 4.4636 Å, c = 4.4636 Å
α = 90.00°, β = 90.00°, γ = 90.00°
Last column: nearest neighbours and their distance in Å.
Space group Pm-3m (No. 221)
One atom of each set of equivalent atoms:
Na (0.0000, 0.0000, 0.0000) (multiplicity 1)  12 Ru 3.16
Fe (0.5000, 0.5000, 0.5000) (multiplicity 1)  6 Ru 2.23
Ru (0.0000, 0.5000, 0.5000) (multiplicity 3)  2 Fe 2.23

Properties
* total moment: 0.2063 μB/atom
* DOS(E_F): 9.943 states/eV/cell

=====

Which one is most stable, and which one is least stable? <two> is the most stable of them, while <one> is the least stable.

=====

<one>
DFT (PBE) results for an optimized crystal structure of NaFe3S.

a = 4.5114 Å, b = 4.5114 Å, c = 4.5114 Å
α = 90.00°, β = 90.00°, γ = 90.00°
Last column: nearest neighbours and their distance in Å.
Space group Pm-3m (No. 221)
One atom of each set of equivalent atoms:
Na (0.0000, 0.0000, 0.0000) (multiplicity 1)  6 Fe 2.26
Fe (0.0000, 0.0000, 0.5000) (multiplicity 3)  2 Na 2.26
S (0.5000, 0.5000, 0.5000) (multiplicity 1)  12 Fe 3.19

Properties
* total moment: 1.8000 μB/atom
* DOS(E_F): 5.278 states/eV/cell

=====

<two>
DFT (PBE) results for an optimized crystal structure of NaFe3S.

a = 4.2669 Å, b = 4.2669 Å, c = 4.2669 Å
α = 90.00°, β = 90.00°, γ = 90.00°
Last column: nearest neighbours and their distance in Å.
Space group Pm-3m (No. 221)
One atom of each set of equivalent atoms:
Na (0.0000, 0.0000, 0.0000) (multiplicity 1)  12 Fe 3.02
Fe (0.0000, 0.5000, 0.5000) (multiplicity 3)  2 S 2.13
S (0.5000, 0.5000, 0.5000) (multiplicity 1)  6 Fe 2.13

Properties
* total moment: 1.3426 μB/atom
* DOS(E_F): 6.046 states/eV/cell

=====

Which one is most stable, and which one is least stable? <two> is the most stable of them, while <one> is the least stable.

=====

<one>
DFT (PBE) results for an optimized crystal structure of NaFe3Sb.

a = 4.5049 Å, b = 4.5049 Å, c = 4.5049 Å
α = 90.00°, β = 90.00°, γ = 90.00°
Last column: nearest neighbours and their distance in Å.
Space group Pm-3m (No. 221)
One atom of each set of equivalent atoms:
Na (0.0000, 0.0000, 0.0000) (multiplicity 1)  6 Fe 2.25
Fe (0.0000, 0.0000, 0.5000) (multiplicity 3)  2 Na 2.25
Sb (0.5000, 0.5000, 0.5000) (multiplicity 1)  12 Fe 3.19

Properties
* total moment: 1.7237 μB/atom
* DOS(E_F): 4.439 states/eV/cell

=====

<two>
DFT (PBE) results for an optimized crystal structure of NaFe3Sb.

a = 4.8855 Å, b = 4.8855 Å, c = 4.8855 Å
α = 90.00°, β = 90.00°, γ = 90.00°
Last column: nearest neighbours and their distance in Å.
Space group Pm-3m (No. 221)
One atom of each set of equivalent atoms:
Na (0.0000, 0.0000, 0.0000) (multiplicity 1)  12 Fe 3.45
Fe (0.0000, 0.5000, 0.5000) (multiplicity 3)  2 Sb 2.44
Sb (0.5000, 0.5000, 0.5000) (multiplicity 1)  6 Fe 2.44

Properties
* total moment: 1.6044 μB/atom
* DOS(E_F): 9.313 states/eV/cell

=====

Which one is most stable, and which one is least stable? <two> is the most stable of them, while <one> is the least stable.